(1)
A plane-wave DFT calculation with PBE-GGA was carried out for BaAl2CdAg4 after structural relaxation.

Calculated values
**Space group**: R-3m (166)
**Formation energy**: -92 meV per atom
**Density of states at the Fermi level**: 0.45 states/eV/atom

abc: 4.533 4.533 10.685
angles: 77.75 77.75 60.00
Fractional positions:
Cd1 0.500 0.500 0.500
Al1 0.241 0.241 0.277
Al2 0.759 0.759 0.723
Ag1 0.591 0.591 0.228
Ag2 0.123 0.123 0.630
Ag3 0.877 0.877 0.370
Ag4 0.409 0.409 0.772
Ba1 0.000 0.000 0.000

***

(2)
A plane-wave DFT calculation with PBE-GGA was carried out for BaAlCd2Ag after structural relaxation.

Calculated values
**Space group**: Imm2 (44)
**Formation energy**: -199 meV per atom
**Density of states at the Fermi level**: 0.70 states/eV/atom

abc: 4.615 4.791 6.935
angles: 110.21 109.44 90.00
Fractional positions:
Al1 0.199 0.699 0.398
Ba1 0.441 0.441 0.882
Ag1 0.819 0.819 0.639
Cd1 0.056 0.056 0.113
Cd2 0.697 0.197 0.393

***

(3)
A plane-wave DFT calculation with PBE-GGA was carried out for Ba2AlCd6Ag after structural relaxation.

Calculated values
**Space group**: P-1 (2)
**Formation energy**: -157 meV per atom
**Density of states at the Fermi level**: 0.57 states/eV/atom

abc: 7.297 7.630 7.608
angles: 57.85 61.22 90.27
Fractional positions:
Cd1 0.756 0.254 0.907
Cd2 0.754 0.662 0.498
Cd3 0.339 0.246 0.914
Cd4 0.661 0.754 0.086
Cd5 0.244 0.746 0.093
Cd6 0.246 0.338 0.502
Ag1 0.500 0.500 0.000
Al1 0.000 0.000 0.000
Ba1 0.209 0.793 0.586
Ba2 0.791 0.207 0.414

***

(4)
A plane-wave DFT calculation with PBE-GGA was carried out for Ba2AlCd4Ag3 after structural relaxation.

Calculated values
**Space group**: P-4m2 (115)
**Formation energy**: -214 meV per atom
**Density of states at the Fermi level**: 0.54 states/eV/atom

abc: 4.836 4.836 11.696
angles: 90.00 90.00 90.00
Fractional positions:
Ag1 0.500 0.000 0.865
Ag2 0.000 0.500 0.135
Ag3 0.000 0.000 0.500
Ba1 0.500 0.000 0.259
Ba2 0.000 0.500 0.741
Cd1 0.000 0.000 0.000
Cd2 0.500 0.500 0.000
Cd3 0.500 0.000 0.624
Cd4 0.000 0.500 0.376
Al1 0.500 0.500 0.500

***

(5)
A plane-wave DFT calculation with PBE-GGA was carried out for Ba2AlCuAg after structural relaxation.

Calculated values
**Space group**: P4/mmm (123)
**Formation energy**: -12 meV per atom
**Density of states at the Fermi level**: 1.17 states/eV/atom

abc: 6.167 6.167 4.637
angles: 90.00 90.00 90.00
Fractional positions:
Ag1 0.500 0.500 0.500
Ba1 0.000 0.500 0.000
Ba2 0.500 0.000 0.000
Cu1 0.000 0.000 0.000
Al1 0.000 0.000 0.500

***

(6)
A plane-wave DFT calculation with PBE-GGA was carried out for BaAl2CuAg after structural relaxation.

Calculated values
**Space group**: P4/mmm (123)
**Formation energy**: 1611 meV per atom
**Density of states at the Fermi level**: 1.01 states/eV/atom

abc: 6.279 5.920 6.279
angles: 90.00 90.00 90.00
Fractional positions:
Ag1 0.000 0.500 0.000
Al1 0.500 0.000 0.000
Al2 0.000 0.000 0.500
Ba1 0.000 0.000 0.000
Cu1 0.500 0.500 0.500

***

(7)
A plane-wave DFT calculation with PBE-GGA was carried out for BaEuAlAg after structural relaxation.

Calculated values
**Space group**: F-43m (216)
**Formation energy**: -123 meV per atom
**Density of states at the Fermi level**: 2.75 states/eV/atom

abc: 5.638 5.638 5.638
angles: 60.00 60.00 60.00
Fractional positions:
Al1 0.750 0.750 0.750
Ba1 0.000 0.000 0.000
Ag1 0.250 0.250 0.250
Eu1 0.500 0.500 0.500

***

(8)
A plane-wave DFT calculation with PBE-GGA was carried out for BaAl2GaAg2 after structural relaxation.

Calculated values
**Space group**: P4/mmm (123)
**Formation energy**: 19 meV per atom
**Density of states at the Fermi level**: 0.37 states/eV/atom

abc: 4.859 4.859 6.361
angles: 90.00 90.00 90.00
Fractional positions:
Al1 0.500 0.000 0.000
Al2 0.000 0.500 0.000
Ba1 0.000 0.000 0.500
Ag1 0.500 0.500 0.741
Ag2 0.500 0.500 0.259
Ga1 0.000 0.000 0.000

***

(9)
A plane-wave DFT calculation with PBE-GGA was carried out for Ba2Al6GaAg after structural relaxation.

Calculated values
**Space group**: P-1 (2)
**Formation energy**: -170 meV per atom
**Density of states at the Fermi level**: 0.36 states/eV/atom

abc: 7.216 7.452 7.221
angles: 79.45 44.19 95.10
Fractional positions:
Ba1 0.244 0.694 0.549
Ba2 0.756 0.306 0.451
Al1 0.754 0.931 0.823
Al2 0.773 0.772 0.500
Al3 0.272 0.771 0.001
Al4 0.227 0.228 0.500
Al5 0.728 0.229 0.999
Al6 0.246 0.069 0.177
Ga1 0.500 0.500 0.000
Ag1 0.000 0.000 0.000

***

(10)
A plane-wave DFT calculation with PBE-GGA was carried out for Ba2AlGa3Ag4 after structural relaxation.

Calculated values
**Space group**: P-4m2 (115)
**Formation energy**: -264 meV per atom
**Density of states at the Fermi level**: 0.78 states/eV/atom

abc: 4.664 4.664 11.083
angles: 90.00 90.00 90.00
Fractional positions:
Ag1 0.000 0.000 0.000
Ag2 0.500 0.000 0.627
Ag3 0.500 0.500 0.000
Ag4 0.000 0.500 0.373
Al1 0.500 0.500 0.500
Ga1 0.000 0.000 0.500
Ga2 0.000 0.500 0.123
Ga3 0.500 0.000 0.877
Ba1 0.500 0.000 0.250
Ba2 0.000 0.500 0.750

***

(11)
A plane-wave DFT calculation with PBE-GGA was carried out for Ba2Al3Ga4Ag after structural relaxation.

Calculated values
**Space group**: P-4m2 (115)
**Formation energy**: -347 meV per atom
**Density of states at the Fermi level**: 0.35 states/eV/atom

abc: 4.597 4.597 11.058
angles: 90.00 90.00 90.00
Fractional positions:
Ag1 0.500 0.500 0.500
Al1 0.500 0.000 0.873
Al2 0.000 0.500 0.127
Al3 0.000 0.000 0.500
Ba1 0.000 0.500 0.755
Ba2 0.500 0.000 0.245
Ga1 0.500 0.500 0.000
Ga2 0.500 0.000 0.631
Ga3 0.000 0.500 0.369
Ga4 0.000 0.000 0.000

***

(12)
A plane-wave DFT calculation with PBE-GGA was carried out for Ba2Al4Ag3Ge after structural relaxation.

Calculated values
**Space group**: P-4m2 (115)
**Formation energy**: -243 meV per atom
**Density of states at the Fermi level**: 0.89 states/eV/atom

abc: 4.619 4.619 11.148
angles: 90.00 90.00 90.00
Fractional positions:
Ge1 0.500 0.500 0.500
Ba1 0.500 0.000 0.252
Ba2 0.000 0.500 0.748
Al1 0.000 0.000 0.000
Al2 0.500 0.000 0.629
Al3 0.500 0.500 0.000
Al4 0.000 0.500 0.371
Ag1 0.000 0.500 0.127
Ag2 0.000 0.000 0.500
Ag3 0.500 0.000 0.873